Computed, not measured: an optimized crystal structure of ZrScH at the PBE level of DFT.

Lattice parameters (Å, degrees): 3.280 3.280 5.154 90.00 90.00 120.00
Sites, in units of the cell vectors:
Sc: 0.333 0.667 0.589
H: 0.667 0.333 0.325
Zr: 0.000 0.000 0.086

## Properties
distance to the lowest polymorph of the same formula	0.002	eV per atom
DOS at the Fermi energy	1.66	states/eV per cell